A relaxed structure of HfHgWO6. Source: the Alexandria database, functional PBE with a Hubbard U.

Results
Symmetry ... Imma, No. 74
DFT total energy ... -7.137 eV per atom
D(E_F) ... 13.100 states/eV/cell
Volume ... 16.87 A^3/atom

```
18
Lattice="-3.703 3.845 5.331 3.703 -3.845 5.331 3.703 3.845 -5.331" Properties=species:S:1:pos:R:3 pbc="T T T"
Hf 0.000 0.000 0.000
Hf 0.000 3.845 0.000
Hg 3.703 1.923 2.319
Hg 0.000 1.923 3.012
W 1.852 1.923 -2.665
W 1.852 -1.923 2.665
O 3.703 1.923 -2.074
O 1.431 -0.543 1.375
O 5.975 -0.543 1.375
O 1.431 3.302 -1.375
O 2.272 -0.543 3.956
O 0.000 1.923 0.878
O 3.703 1.923 4.453
O 1.431 4.388 1.375
O 2.272 0.543 6.706
O -2.272 4.388 3.956
O 2.272 4.388 3.956
O 0.000 1.923 7.404
```